(1)
Density functional theory data (GGA-PBE) for a geometry-optimized DyTl2Sb2O6 structure.

Lattice parameters (Å, degrees): 10.055 6.210 7.907 90.00 116.54 90.00
Space group C2/m (No. 12)
Asymmetric unit:
Dy 0.000 0.000 0.000 x2
Tl 0.216 0.000 0.706 x4
Sb 0.064 0.500 0.740 x4
O 0.050 0.267 0.219 x8
O 0.241 0.000 0.042 x4

- Energy relative to the elements, uncorrected: -151.4 kJ/mol of atoms

=====

(2)
Density functional theory data (GGA-PBE) for a geometry-optimized In2Ir structure.

Lattice parameters (Å, degrees): 5.434 9.911 18.214 90.00 90.00 90.00
Space group Fddd (No. 70, origin choice 2)
Asymmetric unit:
In 0.125 0.125 0.040 x16
In 0.125 0.282 0.625 x16
Ir 0.125 0.125 0.495 x16

- E: -237.45 eV per cell

=====

(3)
Density functional theory data (GGA-PBE) for a geometry-optimized Na2TaB structure.

Lattice parameters (Å, degrees): 9.384 9.384 4.325 90.00 90.00 90.00
Space group I-42d (No. 122)
Asymmetric unit:
Na 0.132 0.250 0.125 x8
Ta 0.000 0.000 0.500 x4
B 0.000 0.000 0.000 x4

- E: -64.64 eV per cell

=====

The calculation returns the following mass density values, one per record and in order: 6.8 11.4 4.1 g/cm3.